No. 1
Computed, not measured: a relaxed Tb2Nd5HoEr crystal at the PBE-GGA level of DFT.

Geometry as POSCAR:
```
Tb2Nd5HoEr
1.0
5.652 0.000 0.000
-2.826 10.219 0.000
0.000 0.000 10.702
Er Ho Nd Tb
2 2 10 4
direct
0.593 0.186 0.964
0.407 0.814 0.464
0.801 0.603 0.510
0.199 0.397 0.010
0.483 0.967 0.744
0.984 0.968 0.517
0.016 0.032 0.017
0.703 0.406 0.207
0.297 0.594 0.707
0.279 0.559 0.312
0.517 0.033 0.244
0.721 0.441 0.812
0.384 0.768 0.021
0.616 0.232 0.521
0.115 0.230 0.310
0.887 0.775 0.238
0.113 0.225 0.738
0.885 0.770 0.810
```

Output
Electronic total energy: -4.5535 eV/atom
N(E_F): 28.3 states/eV/cell
Formation energy from the elements: 0.140 eV/atom
Total magnetization: 0.0 μB/f.u.

=====

No. 2
Computed, not measured: a relaxed ThMgSc3 crystal at the PBE-GGA level of DFT.

Geometry as POSCAR:
```
ThMgSc3
1.0
-1.711 3.085 4.125
-2.748 -4.221 2.017
8.380 -0.227 3.647
Sc Mg Th
6 2 2
direct
0.250 0.426 0.501
0.750 0.925 0.499
0.750 0.724 0.097
0.750 0.131 0.910
0.250 0.627 0.903
0.250 0.221 0.090
0.750 0.527 0.703
0.250 0.825 0.297
0.250 0.030 0.708
0.750 0.322 0.292
```

Output
Electronic total energy: -5.4923 eV/atom
Energy relative to the lowest polymorph listed for this composition: 63.8 meV/atom
N(E_F): 20.0 states/eV/cell
Formation energy from the elements: 0.110 eV/atom
Total magnetization: 0.0 μB/f.u.

=====

No. 3
Computed, not measured: a relaxed TaCrCu2 crystal at the PBE-GGA level of DFT.

Geometry as POSCAR:
```
TaCrCu2
1.0
-6.435 -0.991 2.229
-1.953 -1.676 -6.382
-3.678 -3.664 -1.623
Cu Cr Ta
4 2 2
direct
0.602 0.125 0.250
0.375 0.398 0.750
0.875 0.852 0.750
0.148 0.625 0.250
0.250 0.750 0.500
0.500 0.500 0.000
0.750 0.250 0.500
0.000 0.000 0.000
```

Output
Electronic total energy: -6.7607 eV/atom
Energy relative to the lowest polymorph listed for this composition: 469.3 meV/atom
N(E_F): 6.1 states/eV/cell
Formation energy from the elements: 0.656 eV/atom
Total magnetization: 0.0 μB/f.u.

=====

No. 4
Computed, not measured: a relaxed SrP2I crystal at the PBE-GGA level of DFT.

Geometry as POSCAR:
```
SrP2I
1.0
0.000 3.713 3.713
3.713 0.000 3.713
3.713 3.713 0.000
I P Sr
1 2 1
direct
0.500 0.500 0.500
0.250 0.250 0.250
0.750 0.750 0.750
0.000 0.000 0.000
```

Output
Electronic total energy: -3.1638 eV/atom
Energy relative to the lowest polymorph listed for this composition: 34.6 meV/atom
N(E_F): 5.9 states/eV/cell
Total magnetization: 0.0 μB/f.u.